1.
Tb2PmReO8 after structural relaxation, computed with PBE-GGA.

Lattice parameters (Å, degrees): 5.090 5.090 6.863 90.00 90.00 90.02
Sites, in units of the cell vectors:
Pm (0.000, 0.000, 0.500)
O (0.182, 0.817, 0.202)
O (0.818, 0.183, 0.798)
O (0.265, 0.264, 0.000)
O (0.313, 0.312, 0.500)
O (0.818, 0.183, 0.202)
O (0.687, 0.688, 0.500)
O (0.735, 0.736, 0.000)
O (0.182, 0.817, 0.798)
Re (0.000, 0.000, 0.000)
Tb (0.500, 0.500, 0.251)
Tb (0.500, 0.500, 0.749)

The symmetry is No. 65. The calculation puts the energy relative to the elements, uncorrected at -2.76 eV/atom.



2.
Zr2Ni2As after structural relaxation, computed with PBE-GGA.

Lattice parameters (Å, degrees): 6.676 6.676 3.671 90.00 90.00 90.00
Sites, in units of the cell vectors:
Zr (0.327, 0.173, 0.500)
Zr (0.827, 0.327, 0.500)
Zr (0.173, 0.673, 0.500)
Zr (0.673, 0.827, 0.500)
Ni (0.627, 0.127, 0.000)
Ni (0.127, 0.373, 0.000)
Ni (0.873, 0.627, 0.000)
Ni (0.373, 0.873, 0.000)
As (0.000, 0.000, 0.000)
As (0.500, 0.500, 0.000)

As for the total energy: -72.36 eV per cell. The symmetry is No. 127.



3.
RbZr2Ir2 after structural relaxation, computed with PBE-GGA.

Lattice parameters (Å, degrees): 4.371 4.371 7.579 73.24 73.24 90.00
Last column: magnetic moment on the atom in μB.
Sites, in units of the cell vectors:
Zr (0.357, 0.357, 0.287)  0.18
Zr (0.643, 0.643, 0.713)  0.18
Ir (0.750, 0.250, 0.500)  0.04
Ir (0.250, 0.750, 0.500)  0.04
Rb (0.000, 0.000, 0.000)  0.03

The symmetry is No. 139. For the distance to the lowest polymorph of the same formula, the calculation gives 136 kJ/mol of formula units.



4.
YPuFe2 after structural relaxation, computed with PBE-GGA.

Lattice parameters (Å, degrees): 3.654 7.991 10.619 90.00 90.00 90.00
Last column: magnetic moment on the atom in μB.
Sites, in units of the cell vectors:
Pu (0.250, 0.482, 0.128)  4.76
Pu (0.250, 0.982, 0.372)  4.76
Pu (0.750, 0.018, 0.628)  4.76
Pu (0.750, 0.518, 0.872)  4.76
Fe (0.750, 0.848, 0.791)  -1.46
Fe (0.250, 0.152, 0.209)  -1.46
Fe (0.750, 0.266, 0.091)  -1.67
Fe (0.750, 0.766, 0.409)  -1.67
Fe (0.250, 0.234, 0.591)  -1.67
Fe (0.250, 0.734, 0.909)  -1.67
Fe (0.750, 0.348, 0.709)  -1.46
Fe (0.250, 0.652, 0.291)  -1.46
Y (0.750, 0.364, 0.389)  0.23
Y (0.750, 0.864, 0.111)  0.23
Y (0.250, 0.636, 0.611)  0.23
Y (0.250, 0.136, 0.889)  0.23

As for the total energy: -150.39 eV per cell. The symmetry is No. 62.



5.
Bi3AuO after structural relaxation, computed with PBE-GGA.

Lattice parameters (Å, degrees): 5.532 5.532 5.532 90.00 90.00 90.00
Sites, in units of the cell vectors:
Bi (0.000, 0.000, 0.500)
Bi (0.500, 0.000, 0.000)
Bi (0.000, 0.500, 0.000)
O (0.500, 0.500, 0.500)
Au (0.000, 0.000, 0.000)

The symmetry is No. 221. The calculation puts the energy relative to the elements, uncorrected at 0.95 eV/atom. For the distance to the lowest polymorph of the same formula, the calculation gives 466 kJ/mol of formula units.



6.
MgBe2Ru after structural relaxation, computed with PBE-GGA.

Lattice parameters (Å, degrees): 2.698 2.698 7.782 90.00 90.00 111.30
Sites, in units of the cell vectors:
Be (0.000, 0.000, 0.966)
Be (0.000, 0.000, 0.534)
Ru (0.500, 0.500, 0.750)
Mg (0.500, 0.500, 0.250)

As for the total energy: -17.39 eV per cell. The symmetry is No. 65.



Number 1: theoretical density 7.26 g cm⁻³. Number 2: theoretical density 7.61 g cm⁻³. Number 3: theoretical density 8.19 g cm⁻³. Number 4: theoretical density 9.52 g cm⁻³. Number 5: theoretical density 8.24 g cm⁻³. Number 6: theoretical density 4.51 g cm⁻³.